(1)
Density functional theory data (PBE-GGA) for crystalline Nd2DyY3Ho6 at its relaxed geometry.

Cell lengths 6.173, 6.173, 11.803 Å; angles 94.98, 94.98, 119.95 degrees
Atoms (fractional coordinates):
Nd 0.167 0.833 0.000
Nd 0.833 0.167 0.000
Dy 0.500 0.500 0.000
Y 0.000 0.000 0.500
Y 0.334 0.666 0.500
Y 0.666 0.334 0.500
Ho 0.083 0.415 0.749
Ho 0.252 0.252 0.252
Ho 0.415 0.083 0.749
Ho 0.585 0.917 0.251
Ho 0.748 0.748 0.748
Ho 0.917 0.585 0.251

Total moment in μB per formula unit: 0.00
Electronic total energy in eV per cell: -60.76

(2)
Density functional theory data (PBE-GGA) for crystalline NdDy5YHo2 at its relaxed geometry.

Cell lengths 10.276, 10.276, 10.604 Å; angles 90.00, 90.00, 148.34 degrees
Atoms (fractional coordinates):
Nd 0.084 0.916 0.500
Nd 0.916 0.084 0.000
Dy 0.021 0.979 0.784
Dy 0.112 0.888 0.069
Dy 0.201 0.799 0.757
Dy 0.218 0.782 0.358
Dy 0.482 0.518 0.071
Dy 0.518 0.482 0.571
Dy 0.782 0.218 0.858
Dy 0.799 0.201 0.257
Dy 0.888 0.112 0.569
Dy 0.979 0.021 0.284
Y 0.299 0.701 0.059
Y 0.701 0.299 0.559
Ho 0.386 0.614 0.366
Ho 0.389 0.611 0.782
Ho 0.611 0.389 0.282
Ho 0.614 0.386 0.866

Total moment in μB per formula unit: 0.00
Electronic total energy in eV per cell: -83.95

(3)
Density functional theory data (PBE-GGA) for crystalline Nd3Dy2Ho6Zr at its relaxed geometry.

Cell lengths 6.126, 6.126, 11.672 Å; angles 95.01, 95.01, 119.95 degrees
Atoms (fractional coordinates):
Nd 0.000 0.000 0.000
Nd 0.334 0.666 0.000
Nd 0.666 0.334 0.000
Dy 0.167 0.833 0.500
Dy 0.833 0.167 0.500
Ho 0.093 0.420 0.259
Ho 0.254 0.254 0.741
Ho 0.420 0.093 0.259
Ho 0.580 0.907 0.741
Ho 0.746 0.746 0.259
Ho 0.907 0.580 0.741
Zr 0.500 0.500 0.500

Total moment in μB per formula unit: 0.00
Electronic total energy in eV per cell: -58.98

(4)
Density functional theory data (PBE-GGA) for crystalline Nd2Dy6Ho3Zr at its relaxed geometry.

Cell lengths 6.106, 6.106, 11.682 Å; angles 94.97, 94.97, 119.92 degrees
Atoms (fractional coordinates):
Nd 0.167 0.833 0.000
Nd 0.833 0.167 0.000
Dy 0.091 0.417 0.752
Dy 0.257 0.257 0.248
Dy 0.417 0.091 0.752
Dy 0.583 0.909 0.248
Dy 0.743 0.743 0.752
Dy 0.909 0.583 0.248
Ho 0.000 0.000 0.500
Ho 0.334 0.666 0.500
Ho 0.666 0.334 0.500
Zr 0.500 0.500 0.000

Total moment in μB per formula unit: 0.00
Electronic total energy in eV per cell: -58.80

(5)
Density functional theory data (PBE-GGA) for crystalline Nd3Dy6Ho2Zr at its relaxed geometry.

Cell lengths 6.133, 6.133, 11.708 Å; angles 94.99, 94.99, 119.93 degrees
Atoms (fractional coordinates):
Nd 0.000 0.000 0.000
Nd 0.334 0.666 0.000
Nd 0.666 0.334 0.000
Dy 0.093 0.420 0.259
Dy 0.254 0.254 0.741
Dy 0.420 0.093 0.259
Dy 0.580 0.907 0.741
Dy 0.746 0.746 0.259
Dy 0.907 0.580 0.741
Ho 0.167 0.833 0.500
Ho 0.833 0.167 0.500
Zr 0.500 0.500 0.500

Total moment in μB per formula unit: 0.00
Electronic total energy in eV per cell: -59.08

(6)
Density functional theory data (PBE-GGA) for crystalline DyHo3Ni2 at its relaxed geometry.

Cell lengths 8.164, 8.164, 8.164 Å; angles 131.88, 71.67, 130.31 degrees
Atoms (fractional coordinates):
Dy 0.000 0.000 0.000
Dy 0.500 0.500 0.000
Ho 0.011 0.250 0.761
Ho 0.250 0.750 0.500
Ho 0.489 0.250 0.239
Ho 0.511 0.750 0.761
Ho 0.750 0.250 0.500
Ho 0.989 0.750 0.239
Ni 0.139 0.715 0.854
Ni 0.361 0.215 0.577
Ni 0.639 0.785 0.423
Ni 0.861 0.285 0.146

Total moment in μB per formula unit: 0.00
Electronic total energy in eV per cell: -62.26

(7)
Density functional theory data (PBE-GGA) for crystalline DyHo3Ni at its relaxed geometry.

Cell lengths 5.279, 5.279, 5.279 Å; angles 90.00, 90.00, 90.00 degrees
Atoms (fractional coordinates):
Dy 0.000 0.000 0.000
Ho 0.000 0.500 0.500
Ho 0.500 0.000 0.500
Ho 0.500 0.500 0.000
Ni 0.500 0.500 0.500

Total moment in μB per formula unit: 0.00
Electronic total energy in eV per cell: -24.32

(8)
Density functional theory data (PBE-GGA) for crystalline DyHo3Ni at its relaxed geometry.

Cell lengths 6.405, 6.405, 12.753 Å; angles 108.34, 108.34, 32.91 degrees
Atoms (fractional coordinates):
Dy 0.000 0.000 0.000
Dy 0.130 0.130 0.283
Ho 0.013 0.013 0.704
Ho 0.309 0.309 0.766
Ho 0.362 0.362 0.173
Ho 0.651 0.651 0.532
Ho 0.705 0.705 0.938
Ho 0.884 0.884 0.422
Ni 0.344 0.344 0.564
Ni 0.669 0.669 0.140

Total moment in μB per formula unit: 0.00
Electronic total energy in eV per cell: -49.99

(9)
Density functional theory data (PBE-GGA) for crystalline Dy3HoNi at its relaxed geometry.

Cell lengths 6.413, 6.413, 12.809 Å; angles 108.47, 108.47, 32.92 degrees
Atoms (fractional coordinates):
Dy 0.000 0.000 0.000
Dy 0.290 0.290 0.358
Dy 0.342 0.342 0.765
Dy 0.522 0.522 0.248
Dy 0.652 0.652 0.530
Dy 0.948 0.948 0.594
Ho 0.638 0.638 0.829
Ho 0.767 0.767 0.110
Ni 0.305 0.305 0.968
Ni 0.984 0.984 0.391

Total moment in μB per formula unit: 0.00
Electronic total energy in eV per cell: -50.05

(10)
Density functional theory data (PBE-GGA) for crystalline Dy3HoNi at its relaxed geometry.

Cell lengths 7.939, 7.082, 9.970 Å; angles 90.00, 107.35, 90.00 degrees
Atoms (fractional coordinates):
Dy 0.064 0.210 0.023
Dy 0.064 0.290 0.523
Dy 0.279 0.007 0.376
Dy 0.279 0.493 0.876
Dy 0.417 0.631 0.608
Dy 0.417 0.869 0.108
Dy 0.583 0.131 0.892
Dy 0.583 0.369 0.392
Dy 0.721 0.507 0.124
Dy 0.721 0.993 0.624
Dy 0.936 0.710 0.477
Dy 0.936 0.790 0.977
Ho 0.186 0.538 0.261
Ho 0.186 0.962 0.761
Ho 0.814 0.038 0.239
Ho 0.814 0.462 0.739
Ni 0.434 0.238 0.606
Ni 0.434 0.262 0.106
Ni 0.566 0.738 0.894
Ni 0.566 0.762 0.394

Total moment in μB per formula unit: 0.00
Electronic total energy in eV per cell: -98.78

(11)
Density functional theory data (PBE-GGA) for crystalline DyHo3Ni8 at its relaxed geometry.

Cell lengths 8.769, 8.769, 8.769 Å; angles 33.47, 33.47, 33.47 degrees
Atoms (fractional coordinates):
Dy 0.000 0.000 0.000
Ho 0.125 0.125 0.125
Ho 0.500 0.500 0.500
Ho 0.625 0.625 0.625
Ni 0.062 0.062 0.562
Ni 0.062 0.562 0.062
Ni 0.063 0.563 0.563
Ni 0.312 0.312 0.312
Ni 0.562 0.062 0.062
Ni 0.563 0.063 0.563
Ni 0.563 0.563 0.063
Ni 0.812 0.812 0.812

Total moment in μB per formula unit: 0.00
Electronic total energy in eV per cell: -70.11

(12)
Density functional theory data (PBE-GGA) for crystalline Dy4Ho3Ni4 at its relaxed geometry.

Cell lengths 8.976, 8.976, 8.976 Å; angles 155.82, 120.45, 65.23 degrees
Atoms (fractional coordinates):
Dy 0.026 0.840 0.186
Dy 0.346 0.160 0.186
Dy 0.654 0.840 0.814
Dy 0.974 0.160 0.814
Ho 0.000 0.500 0.500
Ho 0.390 0.390 0.000
Ho 0.610 0.610 0.000
Ni 0.240 0.740 0.500
Ni 0.347 0.000 0.347
Ni 0.653 0.000 0.653
Ni 0.760 0.260 0.500

Total moment in μB per formula unit: 0.00
Electronic total energy in eV per cell: -57.82